Below is a geometry-optimized LiTl2W2O7 structure, with properties calculated at the PBE+U level.

Results
The calculation puts the total energy at -6.307 eV/atom.

a b c (Å): 3.9420 3.9420 23.6051
angles (deg): 90.00 90.00 90.00
Space group I4/mmm (No. 139)
One atom of each set of equivalent atoms:
Li: 0.0000 0.0000 0.0000 (multiplicity 2)
Tl: 0.0000 0.0000 0.1888 (multiplicity 4)
W: 0.0000 0.0000 0.4156 (multiplicity 4)
O: 0.0000 0.0000 0.3359 (multiplicity 4)
O: 0.0000 0.0000 0.5000 (multiplicity 2)
O: 0.0000 0.5000 0.0800 (multiplicity 8)